Material: DyHF
Method: DFT, PBE
State: relaxed

Results
SG = No. 216
excess energy over the best structure of this formula in the dataset = 0 meV per atom
electronic total energy = -5.214 eV per atom

a b c (Å): 3.8283 3.8283 3.8283
angles (deg): 60.00 60.00 60.00
Element x y z (fractional)
1 Dy 0.2500 0.2500 0.2500
2 F 0.5000 0.5000 0.5000
3 H 0.0000 0.0000 0.0000

---

Material: K2InGe
Method: DFT, PBE
State: relaxed

Results
SG = No. 63
excess energy over the best structure of this formula in the dataset = 0 meV per atom
electronic total energy = -2.477 eV per atom

a b c (Å): 6.2852 6.8157 6.8157
angles (deg): 103.68 90.00 90.00
Element x y z (fractional)
1 In 0.0000 0.5000 0.5000
2 In 0.5000 0.5000 0.5000
3 K 0.2500 0.9736 0.3189
4 K 0.2500 0.3189 0.9736
5 K 0.7500 0.6811 0.0264
6 K 0.7500 0.0264 0.6811
7 Ge 0.7500 0.2349 0.2349
8 Ge 0.2500 0.7651 0.7651